# Li2ScCd | Alexandria | SCAN | single point on PBEsol structure
data_Li2ScCd
_space_group_name_H-M_alt 'P 1'
_space_group_IT_number 1
_cell_length_a 3.027
_cell_length_b 4.971
_cell_length_c 5.328
_cell_angle_alpha 90.00
_cell_angle_beta 90.16
_cell_angle_gamma 90.00
loop_
_space_group_symop_operation_xyz
'x,y,z'
loop_
_atom_site_label
_atom_site_fract_x
_atom_site_fract_y
_atom_site_fract_z
_atom_site_occupancy
Li1 0.000 0.000 0.000 1
Li2 0.496 0.500 0.859 1
Sc1 0.997 0.500 0.379 1
Cd1 0.499 0.000 0.522 1
# Calculated formation energy (kJ per mole of atoms): -7.7
# VASP energy (eV per atom): -12.44
# Space group: Pm, No. 6
# Excess energy over the best structure of this formula in the dataset (eV/f.u.): 0.206
# N(E_F) (states/eV per cell): 2.8


# CdCoCu2P | Alexandria | SCAN | single point on PBEsol structure
data_CdCoCu2P
_space_group_name_H-M_alt 'P 1'
_space_group_IT_number 1
_cell_length_a 4.265
_cell_length_b 4.265
_cell_length_c 4.126
_cell_angle_alpha 90.00
_cell_angle_beta 90.00
_cell_angle_gamma 90.00
loop_
_space_group_symop_operation_xyz
'x,y,z'
loop_
_atom_site_label
_atom_site_fract_x
_atom_site_fract_y
_atom_site_fract_z
_atom_site_occupancy
Cd1 0.000 0.000 0.000 1
Co1 0.500 0.500 0.000 1
Cu1 0.000 0.500 0.500 1
Cu2 0.500 0.000 0.500 1
P1 0.500 0.500 0.500 1
# Calculated formation energy (kJ per mole of atoms): 23.2
# VASP energy (eV per atom): -17.46
# Space group: P4/mmm, No. 123
# N(E_F) (states/eV per cell): 2.0


# Be2ZnCu | Alexandria | SCAN | single point on PBEsol structure
data_Be2ZnCu
_space_group_name_H-M_alt 'P 1'
_space_group_IT_number 1
_cell_length_a 2.704
_cell_length_b 2.790
_cell_length_c 5.341
_cell_angle_alpha 90.00
_cell_angle_beta 90.00
_cell_angle_gamma 90.00
loop_
_space_group_symop_operation_xyz
'x,y,z'
loop_
_atom_site_label
_atom_site_fract_x
_atom_site_fract_y
_atom_site_fract_z
_atom_site_occupancy
Be1 0.000 0.000 0.228 1
Be2 0.000 0.000 0.772 1
Zn1 0.500 0.500 0.500 1
Cu1 0.500 0.500 0.000 1
# Calculated formation energy (kJ per mole of atoms): -10.7
# VASP energy (eV per atom): -9.47
# Space group: Pmmm, No. 47
# N(E_F) (states/eV per cell): 0.8


# Sr3Hg | Alexandria | SCAN | single point on PBEsol structure
data_Sr3Hg
_space_group_name_H-M_alt 'P 1'
_space_group_IT_number 1
_cell_length_a 7.459
_cell_length_b 7.459
_cell_length_c 7.459
_cell_angle_alpha 148.26
_cell_angle_beta 131.70
_cell_angle_gamma 58.96
loop_
_space_group_symop_operation_xyz
'x,y,z'
loop_
_atom_site_label
_atom_site_fract_x
_atom_site_fract_y
_atom_site_fract_z
_atom_site_occupancy
Sr1 0.000 0.000 0.000 1
Sr2 0.305 0.805 0.500 1
Sr3 0.695 0.195 0.500 1
Hg1 0.500 0.500 0.000 1
# Calculated formation energy (kJ per mole of atoms): -30.2
# VASP energy (eV per atom): -34.06
# Space group: Immm, No. 71
# Excess energy over the best structure of this formula in the dataset (eV/f.u.): 0.299
# N(E_F) (states/eV per cell): 4.1


# Be3WBr | Alexandria | SCAN | single point on PBEsol structure
data_Be3WBr
_space_group_name_H-M_alt 'P 1'
_space_group_IT_number 1
_cell_length_a 4.495
_cell_length_b 4.495
_cell_length_c 4.495
_cell_angle_alpha 90.00
_cell_angle_beta 90.00
_cell_angle_gamma 90.00
loop_
_space_group_symop_operation_xyz
'x,y,z'
loop_
_atom_site_label
_atom_site_fract_x
_atom_site_fract_y
_atom_site_fract_z
_atom_site_occupancy
Be1 0.000 0.000 0.500 1
Be2 0.000 0.500 0.000 1
Be3 0.500 0.000 0.000 1
W1 0.000 0.000 0.000 1
Br1 0.500 0.500 0.500 1
# VASP energy (eV per atom): -18.69
# Raw formation energy (meV per atom): 1749
# Space group: Pm-3m, No. 221
# N(E_F) (states/eV per cell): 3.0


# ZrP2Ru | Alexandria | SCAN | single point on PBEsol structure
data_ZrP2Ru
_space_group_name_H-M_alt 'P 1'
_space_group_IT_number 1
_cell_length_a 4.404
_cell_length_b 4.404
_cell_length_c 4.404
_cell_angle_alpha 60.00
_cell_angle_beta 60.00
_cell_angle_gamma 60.00
loop_
_space_group_symop_operation_xyz
'x,y,z'
loop_
_atom_site_label
_atom_site_fract_x
_atom_site_fract_y
_atom_site_fract_z
_atom_site_occupancy
Zr1 0.000 0.000 0.000 1
P1 0.500 0.500 0.500 1
P2 0.750 0.750 0.750 1
Ru1 0.250 0.250 0.250 1
# Calculated formation energy (kJ per mole of atoms): -8.5
# VASP energy (eV per atom): -21.67
# Space group: F-43m, No. 216
# N(E_F) (states/eV per cell): 1.7


# BaSc2Al | Alexandria | SCAN | single point on PBEsol structure
data_BaSc2Al
_space_group_name_H-M_alt 'P 1'
_space_group_IT_number 1
_cell_length_a 6.435
_cell_length_b 6.435
_cell_length_c 3.238
_cell_angle_alpha 103.81
_cell_angle_beta 103.81
_cell_angle_gamma 117.31
loop_
_space_group_symop_operation_xyz
'x,y,z'
loop_
_atom_site_label
_atom_site_fract_x
_atom_site_fract_y
_atom_site_fract_z
_atom_site_occupancy
Ba1 0.000 0.000 0.000 1
Sc1 0.000 0.500 0.500 1
Sc2 0.500 0.000 0.500 1
Al1 0.500 0.500 0.000 1
# Calculated formation energy (kJ per mole of atoms): 29.4
# VASP energy (eV per atom): -18.64
# Space group: C2/m, No. 12
# N(E_F) (states/eV per cell): 4.8


# BeFeIr2 | Alexandria | SCAN | single point on PBEsol structure
data_BeFeIr2
_space_group_name_H-M_alt 'P 1'
_space_group_IT_number 1
_cell_length_a 3.809
_cell_length_b 4.817
_cell_length_c 4.817
_cell_angle_alpha 31.68
_cell_angle_beta 90.00
_cell_angle_gamma 90.00
loop_
_space_group_symop_operation_xyz
'x,y,z'
loop_
_atom_site_label
_atom_site_fract_x
_atom_site_fract_y
_atom_site_fract_z
_atom_site_occupancy
Be1 0.000 0.000 0.000 1
Fe1 0.500 0.868 0.868 1
Ir1 0.000 0.262 0.262 1
Ir2 0.500 0.598 0.598 1
# Calculated formation energy (kJ per mole of atoms): -10.7
# VASP energy (eV per atom): -41.28
# Space group: Amm2, No. 38
# N(E_F) (states/eV per cell): 3.9


# In2TeMo | Alexandria | SCAN | single point on PBEsol structure
data_In2TeMo
_space_group_name_H-M_alt 'P 1'
_space_group_IT_number 1
_cell_length_a 7.302
_cell_length_b 7.302
_cell_length_c 7.302
_cell_angle_alpha 155.53
_cell_angle_beta 144.29
_cell_angle_gamma 43.77
loop_
_space_group_symop_operation_xyz
'x,y,z'
loop_
_atom_site_label
_atom_site_fract_x
_atom_site_fract_y
_atom_site_fract_z
_atom_site_occupancy
In1 0.189 0.189 0.000 1
In2 0.811 0.811 0.000 1
Te1 0.500 0.000 0.500 1
Mo1 0.000 0.500 0.500 1
# VASP energy (eV per atom): -34.37
# Raw formation energy (meV per atom): 356
# Space group: Immm, No. 71
# N(E_F) (states/eV per cell): 2.6


# KTlN3 | Alexandria | SCAN | single point on PBEsol structure
data_KTlN3
_space_group_name_H-M_alt 'P 1'
_space_group_IT_number 1
_cell_length_a 4.495
_cell_length_b 4.495
_cell_length_c 4.495
_cell_angle_alpha 90.00
_cell_angle_beta 90.00
_cell_angle_gamma 90.00
loop_
_space_group_symop_operation_xyz
'x,y,z'
loop_
_atom_site_label
_atom_site_fract_x
_atom_site_fract_y
_atom_site_fract_z
_atom_site_occupancy
K1 0.000 0.000 0.000 1
Tl1 0.500 0.500 0.500 1
N1 0.000 0.500 0.500 1
N2 0.500 0.000 0.500 1
N3 0.500 0.500 0.000 1
# VASP energy (eV per atom): -19.96
# Raw formation energy (meV per atom): 1752
# Space group: Pm-3m, No. 221
# N(E_F) (states/eV per cell): 2.1


# Li2MgH2N2 | Alexandria | SCAN | single point on PBEsol structure
data_Li2MgH2N2
_space_group_name_H-M_alt 'P 1'
_space_group_IT_number 1
_cell_length_a 5.063
_cell_length_b 9.525
_cell_length_c 5.148
_cell_angle_alpha 90.00
_cell_angle_beta 90.00
_cell_angle_gamma 90.00
loop_
_space_group_symop_operation_xyz
'x,y,z'
loop_
_atom_site_label
_atom_site_fract_x
_atom_site_fract_y
_atom_site_fract_z
_atom_site_occupancy
Li1 0.000 0.010 0.250 1
Li2 0.000 0.254 0.250 1
Li3 0.000 0.746 0.750 1
Li4 0.000 0.990 0.750 1
Li5 0.500 0.246 0.750 1
Li6 0.500 0.490 0.750 1
Li7 0.500 0.510 0.250 1
Li8 0.500 0.754 0.250 1
Mg1 0.000 0.263 0.750 1
Mg2 0.000 0.737 0.250 1
Mg3 0.500 0.237 0.250 1
Mg4 0.500 0.763 0.750 1
H1 0.163 0.448 0.055 1
H2 0.163 0.552 0.555 1
H3 0.337 0.052 0.555 1
H4 0.337 0.948 0.055 1
H5 0.663 0.052 0.945 1
H6 0.663 0.948 0.445 1
H7 0.837 0.448 0.445 1
H8 0.837 0.552 0.945 1
N1 0.229 0.139 0.498 1
N2 0.229 0.861 0.998 1
N3 0.271 0.361 0.998 1
N4 0.271 0.639 0.498 1
N5 0.729 0.361 0.502 1
N6 0.729 0.639 0.002 1
N7 0.771 0.139 0.002 1
N8 0.771 0.861 0.502 1
# VASP energy (eV per atom): -5.76
# Space group: Pbcn, No. 60
# N(E_F) (states/eV per cell): 0.0


# HgRhCl3 | Alexandria | SCAN | single point on PBEsol structure
data_HgRhCl3
_space_group_name_H-M_alt 'P 1'
_space_group_IT_number 1
_cell_length_a 4.710
_cell_length_b 4.710
_cell_length_c 4.710
_cell_angle_alpha 90.00
_cell_angle_beta 90.00
_cell_angle_gamma 90.00
loop_
_space_group_symop_operation_xyz
'x,y,z'
loop_
_atom_site_label
_atom_site_fract_x
_atom_site_fract_y
_atom_site_fract_z
_atom_site_occupancy
Hg1 0.000 0.000 0.000 1
Rh1 0.500 0.500 0.500 1
Cl1 0.000 0.500 0.500 1
Cl2 0.500 0.000 0.500 1
Cl3 0.500 0.500 0.000 1
# VASP energy (eV per atom): -25.49
# Raw formation energy (meV per atom): -321
# Space group: Pm-3m, No. 221
# Excess energy over the best structure of this formula in the dataset (eV/f.u.): 0.000
# N(E_F) (states/eV per cell): 3.6


The highest VASP energy belongs to which entry? Li2MgH2N2


Among the records above, which one has the highest N(E_F)? BaSc2Al